[1]
Here is an optimized crystal structure of CaSmMgSi from the Alexandria database. Energies are from PBE-GGA.

a = 5.198 Å, b = 5.198 Å, c = 5.198 Å
α = 60.00°, β = 60.00°, γ = 60.00°
Element x y z (fractional)
Mg: 0.250 0.250 0.250
Ca: 0.500 0.500 0.500
Si: 0.750 0.750 0.750
Sm: 0.000 0.000 0.000

Summary:
ρ   4.1 g/cm³
ΔE_f (raw)   -0.2226 eV per atom



[2]
Here is an optimized crystal structure of VIr6Ru from the Alexandria database. Energies are from PBE-GGA.

a = 3.853 Å, b = 5.442 Å, c = 5.442 Å
α = 90.00°, β = 90.00°, γ = 90.00°
Element x y z (fractional)
V: 0.500 0.000 0.000
Ir: 0.000 0.751 0.249
Ir: 0.000 0.249 0.751
Ir: 0.000 0.751 0.751
Ir: 0.000 0.249 0.249
Ir: 0.500 0.500 0.000
Ir: 0.500 0.000 0.500
Ru: 0.500 0.500 0.500

Summary:
ρ   19.0 g/cm³
DFT formation energy   -21 kJ/mol of atoms



[3]
Here is an optimized crystal structure of V12Ga6W from the Alexandria database. Energies are from PBE-GGA.

a = 6.496 Å, b = 6.496 Å, c = 6.496 Å
α = 90.45°, β = 90.45°, γ = 90.45°
Element x y z (fractional)
V: 0.804 0.517 0.434
V: 0.434 0.804 0.517
V: 0.517 0.434 0.804
V: 0.196 0.483 0.566
V: 0.566 0.196 0.483
V: 0.483 0.566 0.196
V: 0.060 0.144 0.375
V: 0.856 0.625 0.940
V: 0.625 0.940 0.856
V: 0.940 0.856 0.625
V: 0.144 0.375 0.060
V: 0.375 0.060 0.144
Ga: 0.723 0.878 0.266
Ga: 0.734 0.277 0.122
Ga: 0.122 0.734 0.277
Ga: 0.277 0.122 0.734
Ga: 0.266 0.723 0.878
Ga: 0.878 0.266 0.723
W: 0.000 0.000 0.000

Summary:
ρ   7.4 g/cm³
DFT formation energy   1 kJ/mol of atoms